No. 1
First-principles (GGA-PBE) data for a relaxed structure of PrY2Sc3, as listed in Alexandria.

```
PrY2Sc3
1.0
6.004 0.000 0.000
0.000 3.476 0.000
-1.993 0.000 16.625
Pr Y Sc
2 4 6
direct
0.027 0.250 0.332 Pr
0.973 0.750 0.668 Pr
0.250 0.250 0.000 Y
0.473 0.250 0.667 Y
0.527 0.750 0.333 Y
0.750 0.750 0.000 Y
0.139 0.750 0.165 Sc
0.252 0.750 0.501 Sc
0.362 0.750 0.835 Sc
0.638 0.250 0.165 Sc
0.748 0.250 0.499 Sc
0.861 0.250 0.835 Sc
```

Calculated values
SG: P2_1/m
Calculated volume in Å³ per cell: 346.9
DFT total energy in eV per atom: -6.0318
Calculated formation energy in meV per atom: 85

No. 2
First-principles (GGA-PBE) data for a relaxed structure of Rb3AgAu2Cl6, as listed in Alexandria.

```
Rb3AgAu2Cl6
1.0
7.879 0.000 0.000
-3.939 6.823 0.000
0.000 0.000 8.555
Rb Ag Au Cl
3 1 2 6
direct
0.000 0.000 0.000 Rb
0.333 0.667 0.674 Rb
0.667 0.333 0.326 Rb
0.000 0.000 0.500 Ag
0.333 0.667 0.275 Au
0.667 0.333 0.725 Au
0.154 0.308 0.289 Cl
0.154 0.846 0.289 Cl
0.308 0.154 0.711 Cl
0.692 0.846 0.289 Cl
0.846 0.154 0.711 Cl
0.846 0.692 0.711 Cl
```

Calculated values
SG: P-3m1
Calculated volume in Å³ per cell: 459.9
DFT total energy in eV per atom: -2.9231
Uncorrected formation energy in eV/atom: -0.974

No. 3
First-principles (GGA-PBE) data for a relaxed structure of ErZnCuPd, as listed in Alexandria.

```
ErZnCuPd
1.0
6.528 0.000 0.000
0.000 6.528 0.000
0.000 0.000 6.528
Er Zn Cu Pd
4 4 4 4
direct
0.000 0.000 0.000 Er
0.000 0.500 0.500 Er
0.500 0.000 0.500 Er
0.500 0.500 0.000 Er
0.000 0.000 0.500 Zn
0.000 0.500 0.000 Zn
0.500 0.000 0.000 Zn
0.500 0.500 0.500 Zn
0.250 0.250 0.750 Cu
0.250 0.750 0.250 Cu
0.750 0.250 0.250 Cu
0.750 0.750 0.750 Cu
0.250 0.250 0.250 Pd
0.250 0.750 0.750 Pd
0.750 0.250 0.750 Pd
0.750 0.750 0.250 Pd
```

Calculated values
SG: F-43m
Calculated volume in Å³ per cell: 278.2
DFT total energy in eV per atom: -4.2458
Calculated formation energy in meV per atom: -464

No. 4
First-principles (GGA-PBE) data for a relaxed structure of Sr2Al2Sn, as listed in Alexandria.

```
Sr2Al2Sn
1.0
7.591 0.000 0.000
0.000 7.591 0.000
0.000 0.000 5.102
Sr Al Sn
4 4 2
direct
0.178 0.322 0.000 Sr
0.322 0.822 0.000 Sr
0.678 0.178 0.000 Sr
0.822 0.678 0.000 Sr
0.123 0.623 0.500 Al
0.377 0.123 0.500 Al
0.623 0.877 0.500 Al
0.877 0.377 0.500 Al
0.000 0.000 0.500 Sn
0.500 0.500 0.500 Sn
```

Calculated values
SG: P4/mbm
Calculated volume in Å³ per cell: 294.0
DFT total energy in eV per atom: -3.2486
Calculated formation energy in meV per atom: -278

No. 5
First-principles (GGA-PBE) data for a relaxed structure of Co2BBr, as listed in Alexandria.

```
Co2BBr
1.0
4.738 0.000 0.000
0.000 4.738 0.000
0.000 0.000 10.223
Co B Br
8 4 4
direct
0.167 0.250 0.125 Co
0.250 0.667 0.375 Co
0.250 0.833 0.875 Co
0.333 0.250 0.625 Co
0.667 0.750 0.625 Co
0.750 0.167 0.875 Co
0.750 0.333 0.375 Co
0.833 0.750 0.125 Co
0.000 0.000 0.000 B
0.000 0.500 0.250 B
0.500 0.000 0.750 B
0.500 0.500 0.500 B
0.000 0.000 0.500 Br
0.000 0.500 0.750 Br
0.500 0.000 0.250 Br
0.500 0.500 0.000 Br
```

Calculated values
SG: I-42d
Distance to the lowest polymorph of the same formula in eV per atom: 0.000
Calculated volume in Å³ per cell: 229.5
DFT total energy in eV per atom: -5.1466
Uncorrected formation energy in eV/atom: 0.494

No. 6
First-principles (GGA-PBE) data for a relaxed structure of YTaTiIr2, as listed in Alexandria.

```
YTaTiIr2
1.0
4.346 0.000 0.000
0.000 4.346 0.000
0.000 0.000 10.623
Y Ta Ti Ir
2 2 2 4
direct
0.000 0.000 0.000 Y
0.500 0.500 0.500 Y
0.000 0.500 0.250 Ta
0.500 0.000 0.750 Ta
0.000 0.500 0.750 Ti
0.500 0.000 0.250 Ti
0.000 0.000 0.378 Ir
0.000 0.000 0.622 Ir
0.500 0.500 0.122 Ir
0.500 0.500 0.878 Ir
```

Calculated values
SG: I-4m2
Calculated volume in Å³ per cell: 200.6
DFT total energy in eV per atom: -9.5234
Calculated formation energy in meV per atom: -737